DFT (GGA-PBE) results for a relaxed P2RhCl crystal.

a = 4.6631 Å, b = 3.5819 Å, c = 4.7131 Å
α = 90.00°, β = 115.83°, γ = 90.00°
Closest atoms and distances in Å follow each position.
Atoms (fractional coordinates):
P 0.1221 0.0000 0.3414  1 P 2.24, 2 Rh 2.39
P 0.8779 0.0000 0.6586  1 P 2.24, 2 Rh 2.39
Rh 0.5000 0.5000 0.5000  2 Cl 2.36, 4 P 2.39
Cl 0.5000 0.5000 0.0000  2 Rh 2.36

## Properties
Offset from the most stable computed form (meV per atom): 51
Symmetry: P2/m (10)
Raw formation energy (eV per atom): -0.1173